# Ti4PH

A relaxed Ti4PH crystal (GGA-PBE, the Alexandria database).

## Properties
- Electronic total energy: -7.13 eV per atom
- V: 167.34 Å³/cell
- DOS at the Fermi energy: 5.346 states/eV/f.u.
- Space group: P2_1/c (14)
- Size of the total moment: 0.00 μB/f.u.

Cell: 5.3081 5.7110 5.5341 Å, 90.00 94.07 90.00°
With the nearest neighbours (Å) after each atom.
Element x y z (fractional)
1 Ti 0.1260 0.1697 0.1542  2 H 2.16-2.29
2 Ti 0.1260 0.3303 0.6542  2 H 2.16-2.29
3 Ti 0.3337 0.6309 0.1158  1 H 1.99
4 Ti 0.3337 0.8691 0.6158  1 H 1.99
5 Ti 0.6663 0.1309 0.3842  1 H 1.99
6 Ti 0.6663 0.3691 0.8842  1 H 1.99
7 Ti 0.8740 0.6697 0.3458  2 H 2.16-2.29
8 Ti 0.8740 0.8303 0.8458  2 H 2.16-2.29
9 P 0.5000 0.0000 0.0000  6 Ti 2.36-2.42
10 P 0.5000 0.5000 0.5000  6 Ti 2.36-2.42
11 H 0.0000 0.0000 0.5000  4 Ti 1.99-2.16
12 H 0.0000 0.5000 0.0000  4 Ti 1.99-2.16